DFT (PBE) results for an optimized crystal structure of HfTl3O. Values from VASP.

The structure in Quantum ESPRESSO input format:
```
&SYSTEM
  ibrav = 0, nat = 5, ntyp = 3
/
ATOMIC_SPECIES
Tl 204.38 Tl.upf
O 16.00 O.upf
Hf 178.49 Hf.upf
ATOMIC_POSITIONS angstrom
Tl 0.0000 0.0000 2.8378
Tl 0.0000 2.8378 0.0000
Tl 2.8378 0.0000 0.0000
O 2.8378 2.8378 2.8378
Hf 0.0000 0.0000 0.0000
CELL_PARAMETERS angstrom
5.6756 0.0000 0.0000
0.0000 5.6756 0.0000
0.0000 0.0000 5.6756
```

Properties
* total DFT energy (no corrections): -3.383 eV per atom
* relative energy among the computed polymorphs: 743.2 meV/atom
* SG: Pm-3m (221)
* raw formation energy: 1.019 eV per atom